! PBE-GGA Hf2BeHIr6, relaxed; values from VASP
! **Density of states at the Fermi level**: 3.98 states/eV/f.u.
! **SG**: Fm-3m, No. 225
! **Mass density**: 18.4 g cm⁻³
! **Total energy**: -8.6151 eV/atom
&SYSTEM
  ibrav = 0, nat = 10, ntyp = 4
/
ATOMIC_SPECIES
Be 9.01 Be.upf
Ir 192.22 Ir.upf
H 1.01 H.upf
Hf 178.49 Hf.upf
CELL_PARAMETERS angstrom
-3.1775 -1.6017 -4.5729
-4.4800 -1.1179 3.5001
-5.1393 2.4931 -0.9787
ATOMIC_POSITIONS crystal
Be 0.0000 0.0000 0.0000
Ir 0.7414 0.2586 0.0000
Ir 0.7415 0.7415 0.9999
Ir 0.7414 0.7414 0.5172
Ir 0.2586 0.2586 0.4828
Ir 0.2586 0.7414 0.0000
Ir 0.2585 0.2585 0.0001
H 0.5000 0.5000 0.0000
Hf 0.2500 0.7499 0.5001
Hf 0.7500 0.2501 0.4999